1.
Pm3Nd8Sc: relaxed, PBE-GGA.

```
data_Pm3Nd8Sc
_chemical_formula_sum 'Pm3 Nd8 Sc1'
_symmetry_space_group_name_H-M 'P 1'
_symmetry_Int_Tables_number 1
_symmetry_space_group_name_Hall 'P 1'
_cell_length_a 6.302
_cell_length_b 8.136
_cell_length_c 8.927
_cell_angle_alpha 111.39
_cell_angle_beta 90.04
_cell_angle_gamma 104.96
loop_
_atom_site_label
_atom_site_type_symbol
_atom_site_fract_x
_atom_site_fract_y
_atom_site_fract_z
Pm1 Pm 0.000 0.000 0.000
Pm2 Pm 0.090 0.758 0.589
Pm3 Pm 0.334 0.002 0.331
Nd1 Nd 0.170 0.508 0.166
Nd2 Nd 0.253 0.262 0.755
Nd3 Nd 0.502 0.510 0.507
Nd4 Nd 0.583 0.248 0.084
Nd5 Nd 0.667 0.004 0.672
Nd6 Nd 0.747 0.755 0.250
Nd7 Nd 0.837 0.513 0.838
Nd8 Nd 0.918 0.256 0.419
Sc1 Sc 0.418 0.757 0.920
```

***

2.
LaYRe2Sb: relaxed, PBE-GGA.

```
data_LaYRe2Sb
_chemical_formula_sum 'La1 Y1 Re2 Sb1'
_symmetry_space_group_name_H-M 'P 4/m m m'
_symmetry_Int_Tables_number 123
_symmetry_space_group_name_Hall '-P 4 2'
_cell_length_a 4.850
_cell_length_b 4.850
_cell_length_c 5.509
_cell_angle_alpha 90.00
_cell_angle_beta 90.00
_cell_angle_gamma 90.00
loop_
_atom_site_label
_atom_site_type_symbol
_atom_site_fract_x
_atom_site_fract_y
_atom_site_fract_z
La1 La 0.000 0.000 0.000
Y1 Y 0.000 0.000 0.500
Re1 Re 0.000 0.500 0.000
Sb1 Sb 0.500 0.500 0.500
```

***

3.
Dy2MgAu4: relaxed, PBE-GGA.

```
data_Dy2MgAu4
_chemical_formula_sum 'Dy6 Mg3 Au12'
_symmetry_space_group_name_H-M 'R -3 m'
_symmetry_Int_Tables_number 166
_symmetry_space_group_name_Hall '-R 3 2"'
_cell_length_a 4.6853
_cell_length_b 4.6853
_cell_length_c 25.7524
_cell_angle_alpha 90.00
_cell_angle_beta 90.00
_cell_angle_gamma 120.00
loop_
_atom_site_label
_atom_site_type_symbol
_atom_site_fract_x
_atom_site_fract_y
_atom_site_fract_z
Dy1 Dy 0.0000 0.0000 0.2474
Mg1 Mg 0.0000 0.0000 0.0000
Au1 Au 0.0000 0.0000 0.1323
Au2 Au 0.0000 0.0000 0.3630
```

***

4.
KBaAg3: relaxed, PBE-GGA.

```
data_KBaAg3
_chemical_formula_sum 'K1 Ba1 Ag3'
_symmetry_space_group_name_H-M 'P m -3 m'
_symmetry_Int_Tables_number 221
_symmetry_space_group_name_Hall '-P 4 2 3'
_cell_length_a 5.791
_cell_length_b 5.791
_cell_length_c 5.791
_cell_angle_alpha 90.00
_cell_angle_beta 90.00
_cell_angle_gamma 90.00
loop_
_atom_site_label
_atom_site_type_symbol
_atom_site_fract_x
_atom_site_fract_y
_atom_site_fract_z
K1 K 0.000 0.000 0.000
Ba1 Ba 0.500 0.500 0.500
Ag1 Ag 0.000 0.000 0.500
```

Summary:
E above lowest polymorph: 0.022 eV per atom

***

5.
CuRuCl6: relaxed, PBE-GGA.

```
data_CuRuCl6
_chemical_formula_sum 'Cu1 Ru1 Cl6'
_symmetry_space_group_name_H-M 'P -1'
_symmetry_Int_Tables_number 2
_symmetry_space_group_name_Hall '-P 1'
_cell_length_a 6.076
_cell_length_b 6.079
_cell_length_c 6.486
_cell_angle_alpha 62.07
_cell_angle_beta 89.96
_cell_angle_gamma 60.03
loop_
_atom_site_label
_atom_site_type_symbol
_atom_site_fract_x
_atom_site_fract_y
_atom_site_fract_z
Cu1 Cu 0.000 0.000 0.000
Ru1 Ru 0.500 0.000 0.500
Cl1 Cl 0.107 0.154 0.254
Cl2 Cl 0.261 0.147 0.746
Cl3 Cl 0.408 0.485 0.254
```

Summary:
E above lowest polymorph: 0.059 eV per atom

***

6.
Mg2ZnRh: relaxed, PBE-GGA.

```
data_Mg2ZnRh
_chemical_formula_sum 'Mg8 Zn4 Rh4'
_symmetry_space_group_name_H-M 'C 1 2/m 1'
_symmetry_Int_Tables_number 12
_symmetry_space_group_name_Hall '-C 2y'
_cell_length_a 9.483
_cell_length_b 5.854
_cell_length_c 4.718
_cell_angle_alpha 90.00
_cell_angle_beta 96.95
_cell_angle_gamma 90.00
loop_
_atom_site_label
_atom_site_type_symbol
_atom_site_fract_x
_atom_site_fract_y
_atom_site_fract_z
Mg1 Mg 0.109 0.244 0.285
Zn1 Zn 0.148 0.500 0.795
Rh1 Rh 0.144 0.000 0.792
```

***

7.
TeSeCl: relaxed, PBE-GGA.

```
data_TeSeCl
_chemical_formula_sum 'Te2 Se2 Cl2'
_symmetry_space_group_name_H-M 'P 1'
_symmetry_Int_Tables_number 1
_symmetry_space_group_name_Hall 'P 1'
_cell_length_a 4.382
_cell_length_b 5.397
_cell_length_c 8.905
_cell_angle_alpha 90.33
_cell_angle_beta 100.64
_cell_angle_gamma 91.64
loop_
_atom_site_label
_atom_site_type_symbol
_atom_site_fract_x
_atom_site_fract_y
_atom_site_fract_z
Te1 Te 0.000 0.000 0.000
Te2 Te 0.189 0.051 0.360
Se1 Se 0.755 0.706 0.264
Se2 Se 0.854 0.393 0.459
Cl1 Cl 0.181 0.418 0.967
Cl2 Cl 0.785 0.948 0.726
```

Summary:
E above lowest polymorph: 0.081 eV per atom

***

8.
Si2NiIr: relaxed, PBE-GGA.

```
data_Si2NiIr
_chemical_formula_sum 'Si2 Ni1 Ir1'
_symmetry_space_group_name_H-M 'P 4/m m m'
_symmetry_Int_Tables_number 123
_symmetry_space_group_name_Hall '-P 4 2'
_cell_length_a 3.896
_cell_length_b 3.896
_cell_length_c 3.311
_cell_angle_alpha 90.00
_cell_angle_beta 90.00
_cell_angle_gamma 90.00
loop_
_atom_site_label
_atom_site_type_symbol
_atom_site_fract_x
_atom_site_fract_y
_atom_site_fract_z
Si1 Si 0.000 0.500 0.000
Ni1 Ni 0.000 0.000 0.500
Ir1 Ir 0.500 0.500 0.500
```

***

The calculation returns the following E_tot values, one per record and in order: -4.867; -6.238; -4.079; -1.916; -3.474; -3.323; -2.994; -6.641 eV/atom.